Ta5Re SCAN single point on PBEsol structure; ΔE_f = -1.2 eV per formula unit; offset from the most stable computed form = 0.004 eV/atom; space group = Cmmm (65)
1.0
1.6142 -6.8469 0.0000
1.6142 6.8469 0.0000
0.0000 0.0000 4.6037
Ta Re
5 1
direct
0.0000 0.0000 0.0000
0.1616 0.8384 0.5000
0.3321 0.6679 0.0000
0.6679 0.3321 0.0000
0.8384 0.1616 0.5000
0.5000 0.5000 0.5000

=====

Co2Ir SCAN single point on PBEsol structure; ΔE_f = 0.3 eV per formula unit; offset from the most stable computed form = 0.082 eV/atom; space group = Immm (71)
1.0
-1.2850 1.7681 3.7483
1.2850 -1.7681 3.7483
1.2850 1.7681 -3.7483
Co Ir
2 1
direct
0.1667 0.1667 0.0000
0.8333 0.8333 0.0000
0.5000 0.5000 0.0000